The following is a PBE calculation of TePd9 after structural relaxation, from the Open Quantum Materials Database.

a b c (Å): 2.8880 3.8332 39.5047
angles (deg): 90.00 90.00 90.00
Closest atoms and distances in Å follow each position.
Sites, in units of the cell vectors:
Pd: 0.0000 0.0000 0.1579  12 Pd 2.77-2.89
Pd: 0.0000 0.0000 0.3015  4 Te 2.73, 7 Pd 2.82-2.90
Pd: 0.0000 0.0000 0.2280  12 Pd 2.76-2.90
Pd: 0.0000 0.0000 0.8771  12 Pd 2.77-2.89
Pd: 0.0000 0.0000 0.0878  12 Pd 2.77-2.89
Pd: 0.5000 0.5000 0.2638  11 Pd 2.78-2.89, 1 Te 2.79
Pd: 0.0000 0.0000 0.8066  12 Pd 2.76-2.89
Pd: 0.5000 0.5000 0.8421  12 Pd 2.77-2.89
Pd: 0.5000 0.5000 0.9824  12 Pd 2.77-2.89
Pd: 0.5000 0.5000 0.7720  12 Pd 2.76-2.90
Pd: 0.0000 0.0000 0.9473  12 Pd 2.77-2.89
Pd: 0.0000 0.0000 0.0176  12 Pd 2.77-2.89
Pd: 0.5000 0.5000 0.6985  4 Te 2.73, 7 Pd 2.82-2.90
Pd: 0.5000 0.5000 0.1229  12 Pd 2.77-2.89
Pd: 0.5000 0.5000 0.0527  12 Pd 2.77-2.89
Pd: 0.0000 0.0000 0.7362  11 Pd 2.78-2.89, 1 Te 2.79
Pd: 0.5000 0.5000 0.9122  12 Pd 2.77-2.89
Pd: 0.5000 0.5000 0.1934  12 Pd 2.76-2.89
Te: 0.0000 0.0000 0.6656  5 Pd 2.73-2.79, 2 Te 2.89
Te: 0.5000 0.5000 0.3344  5 Pd 2.73-2.79, 2 Te 2.89

Properties
**Volume**: 219 Å³/f.u.
**ΔE to the lowest computed polymorph**: 0.0 kJ per mole of atoms



The following is a PBE calculation of PrZnAu after structural relaxation, from the Open Quantum Materials Database.

a b c (Å): 4.7117 4.7117 4.7117
angles (deg): 60.00 60.00 60.00
Closest atoms and distances in Å follow each position.
Sites, in units of the cell vectors:
Au: 0.2500 0.2500 0.2500  4 Zn 2.89
Pr: 0.7500 0.7500 0.7500  4 Zn 2.89
Zn: 0.0000 0.0000 0.0000  4 Au 2.89, 4 Pr 2.89

Properties
**DFT total energy**: -10.38 eV per cell
**Volume**: 74 Å³/f.u.
**Size of the total moment**: 0.010 μB per formula unit



The following is a PBE calculation of GePtNO after structural relaxation, from the Open Quantum Materials Database.

a b c (Å): 3.8834 3.8834 7.9576
angles (deg): 90.00 90.00 90.00
Closest atoms and distances in Å follow each position.
Sites, in units of the cell vectors:
N: 0.2500 0.2500 0.5988  4 Pt 2.09
N: 0.7500 0.7500 0.4012  4 Pt 2.09
Pt: 0.2500 0.7500 0.5000  4 N 2.09
Pt: 0.7500 0.2500 0.5000  4 N 2.09
O: 0.2500 0.7500 0.0000  4 Ge 2.15
O: 0.7500 0.2500 0.0000  4 Ge 2.15
Ge: 0.2500 0.2500 0.1172  4 O 2.15
Ge: 0.7500 0.7500 0.8828  4 O 2.15

Properties
**Volume**: 60 Å³/f.u.
**ΔE to the lowest computed polymorph**: 57.1 kJ per mole of atoms
**Size of the total moment**: 0.002 μB per formula unit



The following is a PBE calculation of HfCuAgGe after structural relaxation, from the Open Quantum Materials Database.

a b c (Å): 4.5849 4.5849 4.5849
angles (deg): 60.00 60.00 60.00
Closest atoms and distances in Å follow each position.
Sites, in units of the cell vectors:
Cu: 0.7500 0.7500 0.7500  4 Ag 2.81, 4 Ge 2.81
Ge: 0.0000 0.0000 0.0000  4 Cu 2.81, 4 Hf 2.81
Ag: 0.5000 0.5000 0.5000  4 Cu 2.81, 4 Hf 2.81
Hf: 0.2500 0.2500 0.2500  4 Ag 2.81, 4 Ge 2.81

Properties
**Volume**: 68 Å³/f.u.
**ΔE to the lowest computed polymorph**: 0.0 kJ per mole of atoms
**Size of the total moment**: 0.000 μB per formula unit



The following is a PBE calculation of PrSiGePt2 after structural relaxation, from the Open Quantum Materials Database.

a b c (Å): 4.3530 4.3530 9.9608
angles (deg): 90.00 90.00 90.00
Closest atoms and distances in Å follow each position.
Sites, in units of the cell vectors:
Pt: 0.0000 0.5000 0.3646  1 Si 2.40, 4 Ge 2.56
Pt: 0.5000 0.0000 0.6354  1 Si 2.40, 4 Ge 2.56
Pt: 0.0000 0.0000 0.0000  4 Si 2.50
Pt: 0.5000 0.5000 0.0000  4 Si 2.50
Ge: 0.0000 0.0000 0.5000  4 Pt 2.56
Ge: 0.5000 0.5000 0.5000  4 Pt 2.56
Si: 0.0000 0.5000 0.1240  5 Pt 2.40-2.50
Si: 0.5000 0.0000 0.8760  5 Pt 2.40-2.50
Pr: 0.5000 0.0000 0.2517  8 Pt 3.28-3.32, 4 Ge 3.29, 4 Si 3.33
Pr: 0.0000 0.5000 0.7483  8 Pt 3.28-3.32, 4 Ge 3.29, 4 Si 3.33

Properties
**Volume**: 94 Å³/f.u.
**ΔE to the lowest computed polymorph**: 0.0 kJ per mole of atoms
**Size of the total moment**: 0.000 μB per formula unit



The following is a PBE calculation of TbAuSO after structural relaxation, from the Open Quantum Materials Database.

a b c (Å): 5.6064 9.0872 5.6284
angles (deg): 90.00 90.00 90.00
Closest atoms and distances in Å follow each position.
Sites, in units of the cell vectors:
Au: 0.7500 0.5000 0.2410  2 S 2.42
Au: 0.2500 0.5000 0.2590  2 S 2.42
Au: 0.7500 0.5000 0.7410  2 S 2.42
Au: 0.2500 0.5000 0.7590  2 S 2.42
O: 0.2500 0.0000 0.4995  4 Tb 2.27-2.28
O: 0.7500 0.0000 0.5005  4 Tb 2.27-2.28
O: 0.7500 0.0000 0.0005  4 Tb 2.27-2.28
O: 0.2500 0.0000 0.9995  4 Tb 2.27-2.28
S: 0.0000 0.7166 0.7500  2 Au 2.42
S: 0.5000 0.2834 0.7500  2 Au 2.42
S: 0.5000 0.7166 0.2500  2 Au 2.42
S: 0.0000 0.2834 0.2500  2 Au 2.42
Tb: 0.0000 0.8776 0.2500  4 O 2.27-2.28
Tb: 0.5000 0.1224 0.2500  4 O 2.27-2.28
Tb: 0.0000 0.1224 0.7500  4 O 2.27-2.28
Tb: 0.5000 0.8776 0.7500  4 O 2.27-2.28

Properties
**Volume**: 72 Å³/f.u.
**ΔE to the lowest computed polymorph**: 3.1 kJ per mole of atoms
**Size of the total moment**: 0.001 μB per formula unit



The following is a PBE calculation of TaFePd after structural relaxation, from the Open Quantum Materials Database.

a b c (Å): 4.1723 4.1723 4.1723
angles (deg): 60.00 60.00 60.00
Closest atoms and distances in Å follow each position.
Sites, in units of the cell vectors:
Fe: 0.2500 0.2500 0.2500  4 Ta 2.56
Ta: 0.0000 0.0000 0.0000  4 Fe 2.56, 4 Pd 2.56
Pd: 0.7500 0.7500 0.7500  4 Ta 2.56

Properties
**Volume**: 51 Å³/f.u.
**ΔE to the lowest computed polymorph**: 10.6 kJ per mole of atoms
**Size of the total moment**: 0.264 μB per formula unit



The following is a PBE calculation of Hg3H6PtN2Cl8 after structural relaxation, from the Open Quantum Materials Database.

a b c (Å): 10.0351 10.0351 12.8087
angles (deg): 97.95 97.95 38.78
Closest atoms and distances in Å follow each position.
Sites, in units of the cell vectors:
Cl: 0.4632 0.0242 0.6518  1 Hg 2.34
Cl: 0.2307 0.6440 0.0333  1 Hg 2.36, 1 H 2.59
Cl: 0.8994 0.9310 0.7732  1 Pt 2.32
Cl: 0.3560 0.7693 0.4667  1 Hg 2.36, 1 H 2.59
Cl: 0.9758 0.5368 0.8482  1 Hg 2.34
Cl: 0.4178 0.8839 0.9952  1 Hg 2.35
Cl: 0.5368 0.9758 0.3482  1 Hg 2.34
Cl: 0.8839 0.4178 0.4952  1 Hg 2.35
Cl: 0.9310 0.8994 0.2732  1 Pt 2.32
Cl: 0.6440 0.2307 0.5333  1 Hg 2.36, 1 H 2.59
Cl: 0.7693 0.3560 0.9667  1 Hg 2.36, 1 H 2.59
Cl: 0.5822 0.1161 0.0048  1 Hg 2.35
Cl: 0.1161 0.5822 0.5048  1 Hg 2.35
Cl: 0.0690 0.1006 0.7268  1 Pt 2.32
Cl: 0.0242 0.4632 0.1518  1 Hg 2.34
Cl: 0.1006 0.0690 0.2268  1 Pt 2.32
Pt: 0.7759 0.2241 0.2500  2 N 2.07, 2 Cl 2.32
Pt: 0.2241 0.7759 0.7500  2 N 2.07, 2 Cl 2.32
Hg: 0.8133 0.7865 0.0782  2 Cl 2.34-2.35
Hg: 0.7865 0.8133 0.5782  2 Cl 2.34-2.35
Hg: 0.0000 0.0000 0.5000  2 Cl 2.36
Hg: 0.2135 0.1867 0.4218  2 Cl 2.34-2.35
Hg: 0.1867 0.2135 0.9218  2 Cl 2.34-2.35
Hg: 0.0000 0.0000 0.0000  2 Cl 2.36
H: 0.6185 0.5540 0.7949  1 N 1.03
H: 0.4114 0.4742 0.3342  1 N 1.03
H: 0.3815 0.4460 0.2051  1 N 1.03
H: 0.5258 0.5886 0.1658  1 N 1.03
H: 0.5540 0.6185 0.2949  1 N 1.03
H: 0.4742 0.4114 0.8342  1 N 1.03
H: 0.7468 0.4963 0.2154  1 N 1.03
H: 0.2532 0.5037 0.7846  1 N 1.03
H: 0.4963 0.7468 0.7154  1 N 1.03
H: 0.5037 0.2532 0.2846  1 N 1.03
H: 0.5886 0.5258 0.6658  1 N 1.03
H: 0.4460 0.3815 0.7051  1 N 1.03
N: 0.6335 0.5160 0.2295  3 H 1.03
N: 0.4840 0.3665 0.2705  3 H 1.03
N: 0.3665 0.4840 0.7705  3 H 1.03
N: 0.5160 0.6335 0.7295  3 H 1.03

Properties
**DFT total energy**: -139.04 eV per cell
**Volume**: 400 Å³/f.u.
**Size of the total moment**: 0.011 μB per formula unit



The following is a PBE calculation of GaTcBi2 after structural relaxation, from the Open Quantum Materials Database.

a b c (Å): 5.0200 5.0200 5.0200
angles (deg): 60.00 60.00 60.00
Closest atoms and distances in Å follow each position.
Sites, in units of the cell vectors:
Ga: 0.7500 0.7500 0.7500  4 Bi 3.07, 4 Tc 3.07
Tc: 0.0000 0.0000 0.0000  4 Bi 3.07, 4 Ga 3.07
Bi: 0.2500 0.2500 0.2500  4 Tc 3.07, 4 Bi 3.07
Bi: 0.5000 0.5000 0.5000  4 Ga 3.07, 4 Bi 3.07

Properties
**DFT total energy**: -18.72 eV per cell
**Volume**: 89 Å³/f.u.
**Size of the total moment**: 0.026 μB per formula unit